1.
KMgI2N after structural relaxation. Source: Alexandria, functional GGA-PBE.

```
data_KMgI2N
_chemical_formula_sum 'K1 Mg1 I2 N1'
_space_group_name_H-M_alt 'P 4/m m m'
_space_group_IT_number 123
_space_group_name_Hall '-P 4 2'
_cell_length_a 6.4765
_cell_length_b 6.4765
_cell_length_c 5.0405
_cell_angle_alpha 90.00
_cell_angle_beta 90.00
_cell_angle_gamma 90.00
loop_
_atom_site_label
_atom_site_type_symbol
_atom_site_fract_x
_atom_site_fract_y
_atom_site_fract_z
_atom_site_occupancy
K1 K 0.0000 0.0000 0.0000 1
Mg1 Mg 0.5000 0.5000 0.5000 1
I1 I 0.0000 0.5000 0.0000 1
N1 N 0.0000 0.0000 0.5000 1
```

Values from the calculation:
offset from the most stable computed form: 1012 meV/atom
formation energy without anion corrections: 14.77 kcal/mol of atoms
VASP energy: -10.92 eV per cell

***

2.
LiTa2Pt after structural relaxation. Source: Alexandria, functional GGA-PBE.

```
data_LiTa2Pt
_chemical_formula_sum 'Li2 Ta4 Pt2'
_space_group_name_H-M_alt 'C 1 2/m 1'
_space_group_IT_number 12
_space_group_name_Hall '-C 2y'
_cell_length_a 10.2212
_cell_length_b 3.2029
_cell_length_c 4.3773
_cell_angle_alpha 90.00
_cell_angle_beta 115.27
_cell_angle_gamma 90.00
loop_
_atom_site_label
_atom_site_type_symbol
_atom_site_fract_x
_atom_site_fract_y
_atom_site_fract_z
_atom_site_occupancy
Li1 Li 0.0000 0.0000 0.0000 1
Ta1 Ta 0.2432 0.0000 0.7432 1
Pt1 Pt 0.0000 0.5000 0.5000 1
```

Values from the calculation:
calculated formation energy: -0.17 eV/atom
VASP energy: -64.66 eV per cell

***

3.
YLuSe3 after structural relaxation. Source: Alexandria, functional GGA-PBE.

```
data_YLuSe3
_chemical_formula_sum 'Y4 Lu4 Se12'
_space_group_name_H-M_alt 'C 1 2/m 1'
_space_group_IT_number 12
_space_group_name_Hall '-C 2y'
_cell_length_a 7.0498
_cell_length_b 12.0847
_cell_length_c 7.0663
_cell_angle_alpha 90.00
_cell_angle_beta 109.52
_cell_angle_gamma 90.00
loop_
_atom_site_label
_atom_site_type_symbol
_atom_site_fract_x
_atom_site_fract_y
_atom_site_fract_z
_atom_site_occupancy
Y1 Y 0.0000 0.0000 0.0000 1
Y2 Y 0.0000 0.5000 0.5000 1
Lu1 Lu 0.0000 0.1670 0.5000 1
Se1 Se 0.2387 0.0000 0.7433 1
Se2 Se 0.2459 0.1669 0.2593 1
```

Values from the calculation:
offset from the most stable computed form: 0 meV/atom
formation energy without anion corrections: -43.35 kcal/mol of atoms
VASP energy: -123.35 eV per cell

***

4.
GdErScPt after structural relaxation. Source: Alexandria, functional GGA-PBE.

```
data_GdErScPt
_chemical_formula_sum 'Gd4 Er4 Sc4 Pt4'
_space_group_name_H-M_alt 'F -4 3 m'
_space_group_IT_number 216
_space_group_name_Hall 'F -4 2 3'
_cell_length_a 7.1927
_cell_length_b 7.1927
_cell_length_c 7.1927
_cell_angle_alpha 90.00
_cell_angle_beta 90.00
_cell_angle_gamma 90.00
loop_
_atom_site_label
_atom_site_type_symbol
_atom_site_fract_x
_atom_site_fract_y
_atom_site_fract_z
_atom_site_occupancy
Gd1 Gd 0.0000 0.0000 0.0000 1
Er1 Er 0.0000 0.0000 0.5000 1
Sc1 Sc 0.2500 0.2500 0.7500 1
Pt1 Pt 0.2500 0.2500 0.2500 1
```

Values from the calculation:
calculated formation energy: -0.39 eV/atom
VASP energy: -130.24 eV per cell

***

5.
MgAgOs4 after structural relaxation. Source: Alexandria, functional GGA-PBE.

```
data_MgAgOs4
_chemical_formula_sum 'Mg4 Ag4 Os16'
_space_group_name_H-M_alt 'F -4 3 m'
_space_group_IT_number 216
_space_group_name_Hall 'F -4 2 3'
_cell_length_a 7.3583
_cell_length_b 7.3583
_cell_length_c 7.3583
_cell_angle_alpha 90.00
_cell_angle_beta 90.00
_cell_angle_gamma 90.00
loop_
_atom_site_label
_atom_site_type_symbol
_atom_site_fract_x
_atom_site_fract_y
_atom_site_fract_z
_atom_site_occupancy
Mg1 Mg 0.0000 0.0000 0.0000 1
Ag1 Ag 0.2500 0.2500 0.2500 1
Os1 Os 0.1250 0.1250 0.6250 1
```

Values from the calculation:
calculated formation energy: 0.60 eV/atom
VASP energy: -183.09 eV per cell

***

6.
CdAg5Se4 after structural relaxation. Source: Alexandria, functional GGA-PBE.

```
data_CdAg5Se4
_chemical_formula_sum 'Cd2 Ag10 Se8'
_space_group_name_H-M_alt 'I m m m'
_space_group_IT_number 71
_space_group_name_Hall '-I 2 2'
_cell_length_a 4.0500
_cell_length_b 7.6820
_cell_length_c 14.9242
_cell_angle_alpha 90.00
_cell_angle_beta 90.00
_cell_angle_gamma 90.00
loop_
_atom_site_label
_atom_site_type_symbol
_atom_site_fract_x
_atom_site_fract_y
_atom_site_fract_z
_atom_site_occupancy
Cd1 Cd 0.0000 0.0000 0.0000 1
Ag1 Ag 0.0000 0.2366 0.3202 1
Ag2 Ag 0.0000 0.5000 0.0000 1
Se1 Se 0.0000 0.0000 0.1914 1
Se2 Se 0.0000 0.2341 0.5000 1
```

Values from the calculation:
formation energy without anion corrections: -2.32 kcal/mol of atoms
VASP energy: -60.23 eV per cell

***

7.
Y2PuPt after structural relaxation. Source: Alexandria, functional GGA-PBE.

```
data_Y2PuPt
_chemical_formula_sum 'Y6 Pu3 Pt3'
_space_group_name_H-M_alt 'R -3 m'
_space_group_IT_number 166
_space_group_name_Hall '-R 3 2"'
_cell_length_a 3.7693
_cell_length_b 3.7693
_cell_length_c 28.2573
_cell_angle_alpha 90.00
_cell_angle_beta 90.00
_cell_angle_gamma 120.00
loop_
_atom_site_label
_atom_site_type_symbol
_atom_site_fract_x
_atom_site_fract_y
_atom_site_fract_z
_atom_site_occupancy
Y1 Y 0.0000 0.0000 0.2304 1
Pu1 Pu 0.0000 0.0000 0.0000 1
Pt1 Pt 0.0000 0.0000 0.5000 1
```

Values from the calculation:
calculated formation energy: -0.36 eV/atom
offset from the most stable computed form: 140 meV/atom
VASP energy: -104.26 eV per cell

***

8.
CaBiPd after structural relaxation. Source: Alexandria, functional GGA-PBE.

```
data_CaBiPd
_chemical_formula_sum 'Ca4 Bi4 Pd4'
_space_group_name_H-M_alt 'P n m a'
_space_group_IT_number 62
_space_group_name_Hall '-P 2ac 2n'
_cell_length_a 7.5217
_cell_length_b 4.7937
_cell_length_c 8.2293
_cell_angle_alpha 90.00
_cell_angle_beta 90.00
_cell_angle_gamma 90.00
loop_
_atom_site_label
_atom_site_type_symbol
_atom_site_fract_x
_atom_site_fract_y
_atom_site_fract_z
_atom_site_occupancy
Ca1 Ca 0.0071 0.2500 0.2038 1
Bi1 Bi 0.1958 0.2500 0.5919 1
Pd1 Pd 0.1950 0.7500 0.4189 1
```

Values from the calculation:
calculated formation energy: -0.75 eV/atom
VASP energy: -53.29 eV per cell

***

> Among the records above, which one has the lowest VASP energy?

MgAgOs4

***

> What is the VASP energy in the sixth record?

-60.23 eV per cell

***

> What is the VASP energy in the fourth record?

-130.24 eV per cell

***

> Among the records above, which one has the lowest VASP energy?

MgAgOs4